Computed, not measured: a relaxed GdDyZn2 crystal at the PBE level of DFT.

Output
Size of the total moment ... 0.085 μB/atom
Crystal system ... tetragonal
ΔE_f ... -0.340 eV per atom
E ... -3.287 eV/atom
Volume ... 22.82 A^3/atom

a = 5.0437 Å, b = 5.0437 Å, c = 3.5885 Å
α = 90.00°, β = 90.00°, γ = 90.00°
Fractional positions:
Gd 0.0000 0.0000 0.0000
Dy 0.5000 0.5000 0.0000
Zn 0.0000 0.5000 0.5000
Zn 0.5000 0.0000 0.5000

---

Computed, not measured: a relaxed HfTc2Au crystal at the PBE level of DFT.

Output
Size of the total moment ... 0.004 μB/atom
Crystal system ... cubic
ΔE_f ... 0.019 eV per atom
E ... -8.467 eV/atom
Volume ... 16.73 A^3/atom

a = 4.5573 Å, b = 4.5573 Å, c = 4.5573 Å
α = 60.00°, β = 60.00°, γ = 60.00°
Fractional positions:
Hf 0.0000 0.0000 0.0000
Tc 0.2500 0.2500 0.2500
Tc 0.5000 0.5000 0.5000
Au 0.7500 0.7500 0.7500

---

Computed, not measured: a relaxed Nd2MoN3 crystal at the PBE level of DFT.

Output
Size of the total moment ... 0.001 μB/atom
Crystal system ... orthorhombic
E ... -8.619 eV/atom
Volume ... 14.92 A^3/atom

a = 6.9515 Å, b = 6.9515 Å, c = 6.9515 Å
α = 150.81°, β = 146.78°, γ = 44.80°
Fractional positions:
Nd 0.1480 0.1480 0.0000
Nd 0.8520 0.8520 0.0000
Mo 0.5000 0.5000 0.0000
N 0.0000 0.5000 0.5000
N 0.3407 0.3407 0.0000
N 0.6593 0.6593 0.0000